[1]
Below is an optimized crystal structure of SmHo2Ru, with properties calculated at the PBE level.

Lattice parameters (Å, degrees): 3.496 3.496 10.956 80.82 80.82 60.00
Atoms (fractional coordinates):
Ru1 0.500 0.500 0.500
Ho1 0.108 0.108 0.676
Ho2 0.892 0.892 0.324
Sm1 0.000 0.000 0.000

Results
* E above lowest polymorph: 392 meV per atom
* total DFT energy (no corrections): -5.700 eV per atom
* energy relative to the elements: 0.0873 eV/atom
* space-group type: R-3m, No. 166
* N(E_F): 1.565 states/eV/atom
* mass density: 8.5 g/cm³

[2]
Below is an optimized crystal structure of SmHo5Ru4, with properties calculated at the PBE level.

Lattice parameters (Å, degrees): 3.398 3.398 19.141 90.00 90.00 90.00
Atoms (fractional coordinates):
Sm1 0.000 0.000 0.000
Ru1 0.000 0.000 0.411
Ru2 0.000 0.000 0.230
Ru3 0.000 0.000 0.770
Ru4 0.000 0.000 0.589
Ho1 0.500 0.500 0.149
Ho2 0.500 0.500 0.500
Ho3 0.500 0.500 0.324
Ho4 0.500 0.500 0.676
Ho5 0.500 0.500 0.851

Results
* total DFT energy (no corrections): -6.784 eV per atom
* energy relative to the elements: -0.3124 eV/atom
* space-group type: P4/mmm, No. 123
* N(E_F): 0.815 states/eV/atom
* mass density: 10.4 g/cm³